# TlVPd PBE optimized geometry
data_TlVPd
_cell_length_a 3.044
_cell_length_b 3.037
_cell_length_c 13.311
_cell_angle_alpha 90.00
_cell_angle_beta 90.00
_cell_angle_gamma 120.07
_symmetry_space_group_name_H-M 'P 1'
_symmetry_Int_Tables_number 1
_symmetry_space_group_name_Hall 'P 1'
loop_
_atom_site_label
_atom_site_fract_x
_atom_site_fract_y
_atom_site_fract_z
V1 0.611 0.222 0.349
V2 0.611 0.222 0.651
Tl1 0.278 0.556 0.172
Tl2 0.278 0.556 0.828
Pd1 0.276 0.553 0.500
Pd2 0.613 0.225 0.000
# Energy relative to the elements = 0.298 eV per atom
# Symmetry = Amm2
# Uncorrected energy = -5.261 eV per atom

# YTm3H PBE optimized geometry
data_YTm3H
_cell_length_a 4.933
_cell_length_b 4.933
_cell_length_c 4.933
_cell_angle_alpha 90.00
_cell_angle_beta 90.00
_cell_angle_gamma 90.00
_symmetry_space_group_name_H-M 'P 1'
_symmetry_Int_Tables_number 1
_symmetry_space_group_name_Hall 'P 1'
loop_
_atom_site_label
_atom_site_fract_x
_atom_site_fract_y
_atom_site_fract_z
Tm1 0.500 0.000 0.000
Tm2 0.000 0.000 0.500
Tm3 0.000 0.500 0.000
H1 0.000 0.000 0.000
Y1 0.500 0.500 0.500
# Symmetry = Pm-3m
# Uncorrected energy = -4.797 eV per atom

# TmBiTe2 PBE optimized geometry
data_TmBiTe2
_cell_length_a 4.165
_cell_length_b 4.165
_cell_length_c 10.059
_cell_angle_alpha 78.05
_cell_angle_beta 78.05
_cell_angle_gamma 60.00
_symmetry_space_group_name_H-M 'P 1'
_symmetry_Int_Tables_number 1
_symmetry_space_group_name_Hall 'P 1'
loop_
_atom_site_label
_atom_site_fract_x
_atom_site_fract_y
_atom_site_fract_z
Te1 0.895 0.895 0.315
Te2 0.105 0.105 0.685
Bi1 0.000 0.000 0.000
Tm1 0.500 0.500 0.500
# Symmetry = R-3m
# Uncorrected energy = -4.366 eV per atom

# Tc2GeIrCl PBE optimized geometry
data_Tc2GeIrCl
_cell_length_a 4.742
_cell_length_b 4.569
_cell_length_c 4.742
_cell_angle_alpha 90.00
_cell_angle_beta 90.00
_cell_angle_gamma 90.00
_symmetry_space_group_name_H-M 'P 1'
_symmetry_Int_Tables_number 1
_symmetry_space_group_name_Hall 'P 1'
loop_
_atom_site_label
_atom_site_fract_x
_atom_site_fract_y
_atom_site_fract_z
Cl1 0.000 0.500 0.000
Ir1 0.500 0.500 0.500
Tc1 0.000 0.000 0.500
Tc2 0.500 0.000 0.000
Ge1 0.000 0.000 0.000
# Symmetry = P4/mmm
# Uncorrected energy = -5.363 eV per atom

# BePSCl2 PBE optimized geometry
data_BePSCl2
_cell_length_a 4.051
_cell_length_b 4.051
_cell_length_c 6.217
_cell_angle_alpha 90.00
_cell_angle_beta 90.00
_cell_angle_gamma 90.00
_symmetry_space_group_name_H-M 'P 1'
_symmetry_Int_Tables_number 1
_symmetry_space_group_name_Hall 'P 1'
loop_
_atom_site_label
_atom_site_fract_x
_atom_site_fract_y
_atom_site_fract_z
Cl1 0.000 0.500 0.000
Cl2 0.500 0.000 0.000
P1 0.500 0.500 0.500
Be1 0.000 0.000 0.000
S1 0.000 0.000 0.500
# Symmetry = P4/mmm
# Distance to the lowest polymorph of the same formula = 0.0 kJ per mole of atoms
# Uncorrected energy = -3.229 eV per atom

# BeCd2Cl PBE optimized geometry
data_BeCd2Cl
_cell_length_a 7.853
_cell_length_b 7.853
_cell_length_c 3.491
_cell_angle_alpha 89.93
_cell_angle_beta 89.93
_cell_angle_gamma 22.76
_symmetry_space_group_name_H-M 'P 1'
_symmetry_Int_Tables_number 1
_symmetry_space_group_name_Hall 'P 1'
loop_
_atom_site_label
_atom_site_fract_x
_atom_site_fract_y
_atom_site_fract_z
Cl1 0.548 0.548 0.625
Cd1 0.931 0.931 0.124
Cd2 0.723 0.723 0.626
Be1 0.298 0.298 0.125
# Symmetry = Cm
# Distance to the lowest polymorph of the same formula = 16.1 kJ per mole of atoms
# Uncorrected energy = -1.870 eV per atom

# VGaTc2 PBE optimized geometry
data_VGaTc2
_cell_length_a 3.017
_cell_length_b 5.402
_cell_length_c 7.465
_cell_angle_alpha 90.00
_cell_angle_beta 90.00
_cell_angle_gamma 106.22
_symmetry_space_group_name_H-M 'P 1'
_symmetry_Int_Tables_number 1
_symmetry_space_group_name_Hall 'P 1'
loop_
_atom_site_label
_atom_site_fract_x
_atom_site_fract_y
_atom_site_fract_z
Tc1 0.371 0.742 0.530
Tc2 0.629 0.258 0.470
Tc3 0.629 0.258 0.030
Tc4 0.371 0.742 0.970
V1 0.761 0.522 0.750
V2 0.239 0.478 0.250
Ga1 0.969 0.938 0.250
Ga2 0.031 0.062 0.750
# Energy relative to the elements = -0.061 eV per atom
# Symmetry = Cmcm
# Distance to the lowest polymorph of the same formula = 17.2 kJ per mole of atoms
# Uncorrected energy = -8.281 eV per atom

# MnHgRu2 PBE optimized geometry
data_MnHgRu2
_cell_length_a 5.303
_cell_length_b 5.303
_cell_length_c 5.303
_cell_angle_alpha 146.70
_cell_angle_beta 129.18
_cell_angle_gamma 62.12
_symmetry_space_group_name_H-M 'P 1'
_symmetry_Int_Tables_number 1
_symmetry_space_group_name_Hall 'P 1'
loop_
_atom_site_label
_atom_site_fract_x
_atom_site_fract_y
_atom_site_fract_z
Ru1 0.000 0.000 0.000
Ru2 0.764 0.264 0.500
Hg1 0.497 0.497 0.000
Mn1 0.238 0.738 0.500
# Energy relative to the elements = 0.464 eV per atom
# Symmetry = Imm2
# Uncorrected energy = -6.542 eV per atom